# 1
An optimized crystal structure of OsW2. Source: Alexandria, functional GGA-PBE.

Properties
Relative energy among the computed polymorphs (eV/atom): 0.567
Space-group type: P6_3/mmc, No. 194
Energy of formation (kJ/mol of atoms): 55

Lattice parameters (Å, degrees): 5.1896 5.1896 8.3342 90.00 90.00 60.00
Last column: nearest neighbours and their distance in Å.
Element x y z (fractional)
W1 0.0000 0.0000 0.0000  6 W 2.58
W2 0.1702 0.1702 0.2500  6 W 2.54-2.65
W3 0.6596 0.1702 0.2500  6 W 2.54-2.65
W4 0.1702 0.6596 0.2500  6 W 2.54-2.65
W5 0.8298 0.8298 0.7500  6 W 2.54-2.65
W6 0.0000 0.0000 0.5000  6 W 2.58
W7 0.3404 0.8298 0.7500  6 W 2.54-2.65
W8 0.8298 0.3404 0.7500  6 W 2.54-2.65
Os1 0.3333 0.3333 0.9386  12 W 2.98-3.04, 4 Os 3.14-3.17
Os2 0.3333 0.3333 0.5614  12 W 2.98-3.04, 4 Os 3.14-3.17
Os3 0.6667 0.6667 0.0614  12 W 2.98-3.04, 4 Os 3.14-3.17
Os4 0.6667 0.6667 0.4386  12 W 2.98-3.04, 4 Os 3.14-3.17

***

# 2
An optimized crystal structure of LaHoCdAu. Source: Alexandria, functional GGA-PBE.

Properties
Relative energy among the computed polymorphs (eV/atom): 0.000
Space-group type: P4mm, No. 99
Energy of formation (kJ/mol of atoms): -56

Lattice parameters (Å, degrees): 3.7091 3.7091 7.6913 90.00 90.00 90.00
Last column: nearest neighbours and their distance in Å.
Element x y z (fractional)
Au1 0.0000 0.0000 0.3907  4 Ho 3.03, 4 La 3.36
Ho1 0.5000 0.5000 0.5871  4 Au 3.03, 4 Cd 3.23
Cd1 0.0000 0.0000 0.8333  4 Ho 3.23, 1 Au 3.40, 4 La 3.41
La1 0.5000 0.5000 0.1169  4 Au 3.36, 4 Cd 3.41, 1 Ho 3.62, 4 La 3.71

***

# 3
An optimized crystal structure of Mn2OsPt. Source: Alexandria, functional GGA-PBE.

Properties
Space-group type: Pmm2, No. 25
Energy of formation (kJ/mol of atoms): -4

Lattice parameters (Å, degrees): 2.6722 3.8106 5.3674 90.00 90.00 90.00
Last column: nearest neighbours and their distance in Å.
Element x y z (fractional)
Os1 0.0000 0.0000 0.4768  5 Mn 2.53-2.60, 2 Os 2.67, 4 Pt 2.77
Pt1 0.5000 0.5000 0.7581  2 Pt 2.67, 6 Mn 2.68-2.69, 4 Os 2.77
Mn1 0.0000 0.0000 0.0063  1 Os 2.53, 6 Mn 2.67-2.69, 4 Pt 2.68
Mn2 0.5000 0.5000 0.2588  4 Os 2.60, 6 Mn 2.67-2.69, 2 Pt 2.68-2.69

***

# 4
An optimized crystal structure of Tb8Ho4Th. Source: Alexandria, functional GGA-PBE.

Properties
Space-group type: C2, No. 5
Energy of formation (kJ/mol of atoms): 24

Lattice parameters (Å, degrees): 7.3017 7.3019 10.1024 90.00 111.20 120.00
Last column: nearest neighbours and their distance in Å.
Element x y z (fractional)
Tb1 0.4947 0.2472 0.2973  1 Th 2.99, 2 Tb 3.24-3.25, 1 Ho 3.31
Tb2 0.0500 0.8027 0.2969  1 Th 2.99, 2 Tb 3.24-3.25, 1 Ho 3.31
Tb3 0.0500 0.2473 0.2971  1 Th 2.99, 2 Tb 3.25, 1 Ho 3.31
Tb4 0.4320 0.2159 0.6486  9 Tb 3.69-3.73, 3 Ho 3.85
Tb5 0.5676 0.7837 0.3514  9 Tb 3.69-3.73, 3 Ho 3.85
Tb6 0.9496 0.1973 0.7028  1 Th 2.99, 2 Tb 3.24-3.25, 1 Ho 3.31
Tb7 0.5057 0.7528 0.7030  1 Th 2.99, 2 Tb 3.24, 1 Ho 3.31
Tb8 0.9496 0.7523 0.7029  1 Th 2.99, 2 Tb 3.24-3.25, 1 Ho 3.31
Ho1 0.4999 0.0000 0.9999  6 Tb 3.53-3.85, 6 Ho 3.65
Ho2 0.0000 0.5000 0.0000  6 Tb 3.52-3.85, 6 Ho 3.65
Ho3 0.5000 0.5000 0.0000  6 Tb 3.52-3.85, 6 Ho 3.65
Ho4 0.0003 0.0003 0.0000  6 Tb 3.31, 6 Ho 3.65
Th1 0.0006 0.5006 0.5000  6 Tb 2.99